# PBE Na3H4O4, relaxed
data_Na3H4O4
_space_group_name_H-M_alt 'P 1'
_space_group_IT_number 1
_cell_length_a 3.064
_cell_length_b 3.364
_cell_length_c 11.798
_cell_angle_alpha 91.80
_cell_angle_beta 97.44
_cell_angle_gamma 90.01
loop_
_space_group_symop_operation_xyz
'x,y,z'
loop_
_atom_site_label
_atom_site_type_symbol
_atom_site_fract_x
_atom_site_fract_y
_atom_site_fract_z
Na1 Na 0.000 0.000 0.000
Na2 Na 0.150 0.906 0.302
Na3 Na 0.850 0.094 0.698
H1 H 0.272 0.633 0.544
H2 H 0.424 0.489 0.846
H3 H 0.576 0.511 0.154
H4 H 0.728 0.367 0.456
O1 O 0.313 0.586 0.626
O2 O 0.433 0.209 0.866
O3 O 0.567 0.791 0.134
O4 O 0.687 0.414 0.374
# * space-group type: P-1 (2)
# * total energy: -4.503 eV per atom
# * volume: 121 Å³ per cell
# * DOS at the Fermi energy: 3.653 states/eV/cell